# La6Hg2Ir | Alexandria | PBE | optimized geometry
data_La6Hg2Ir
_cell_length_a 7.276
_cell_length_b 7.684
_cell_length_c 12.790
_cell_angle_alpha 90.00
_cell_angle_beta 121.38
_cell_angle_gamma 90.00
_symmetry_space_group_name_H-M 'P 1 21/c 1'
_symmetry_Int_Tables_number 14
loop_
_symmetry_equiv_pos_as_xyz
'x,y,z'
'-x,-y,-z'
'-x,y+1/2,-z+1/2'
'x,-y+1/2,z+1/2'
loop_
_atom_site_label
_atom_site_type_symbol
_atom_site_fract_x
_atom_site_fract_y
_atom_site_fract_z
_atom_site_occupancy
La1 La 0.132 0.014 0.253 1
La2 La 0.242 0.686 0.053 1
La3 La 0.359 0.203 0.052 1
Hg1 Hg 0.312 0.089 0.766 1
Ir1 Ir 0.000 0.000 0.000 1
# Density ... 7.762 g/cm3
# Energy of formation from the pure elements ... -3.6 eV per formula unit
# Energy ... -42.59 eV per formula unit
# Magnetization ... 0.0 μB per formula unit
# Density of states at the Fermi level ... 20.00 states/eV/cell
# Relative energy among the computed polymorphs ... 1.16 kcal/mol of atoms

***

# CoSeBr2 | Alexandria | PBE | optimized geometry
data_CoSeBr2
_cell_length_a 5.069
_cell_length_b 5.069
_cell_length_c 3.305
_cell_angle_alpha 90.00
_cell_angle_beta 90.00
_cell_angle_gamma 90.00
_symmetry_space_group_name_H-M 'P 4/m m m'
_symmetry_Int_Tables_number 123
_symmetry_space_group_name_Hall '-P 4 2'
loop_
_atom_site_label
_atom_site_type_symbol
_atom_site_fract_x
_atom_site_fract_y
_atom_site_fract_z
_atom_site_occupancy
Co1 Co 0.000 0.000 0.000 1
Se1 Se 0.500 0.500 0.000 1
Br1 Br 0.000 0.500 0.500 1
# Density ... 5.822 g/cm3
# Energy ... -10.61 eV per formula unit
# Magnetization ... 2.1 μB per formula unit
# Density of states at the Fermi level ... 5.71 states/eV/cell
# Formation energy without anion corrections ... 0.8317 eV per atom

***

# CuH2Pd2 | Alexandria | PBE | optimized geometry
data_CuH2Pd2
_cell_length_a 3.991
_cell_length_b 3.991
_cell_length_c 6.847
_cell_angle_alpha 90.00
_cell_angle_beta 90.00
_cell_angle_gamma 90.00
_symmetry_space_group_name_H-M 'I 4/m m m'
_symmetry_Int_Tables_number 139
_symmetry_space_group_name_Hall '-I 4 2'
loop_
_atom_site_label
_atom_site_type_symbol
_atom_site_fract_x
_atom_site_fract_y
_atom_site_fract_z
_atom_site_occupancy
Cu1 Cu 0.000 0.000 0.000 1
H1 H 0.000 0.000 0.264 1
Pd1 Pd 0.000 0.500 0.250 1
# Density ... 8.479 g/cm3
# Energy ... -21.18 eV per formula unit
# Magnetization ... 0.0 μB per formula unit
# Density of states at the Fermi level ... 1.85 states/eV/cell
# Relative energy among the computed polymorphs ... 1.70 kcal/mol of atoms

***

# Pr2Nd3Se4 | Alexandria | PBE | optimized geometry
data_Pr2Nd3Se4
_cell_length_a 13.976
_cell_length_b 4.206
_cell_length_c 10.231
_cell_angle_alpha 90.00
_cell_angle_beta 119.33
_cell_angle_gamma 90.00
_symmetry_space_group_name_H-M 'C 1 2/m 1'
_symmetry_Int_Tables_number 12
loop_
_symmetry_equiv_pos_as_xyz
'x,y,z'
'-x,-y,-z'
'-x,y,-z'
'x,-y,z'
'x+1/2,y+1/2,z'
'-x+1/2,-y+1/2,-z'
'-x+1/2,y+1/2,-z'
'x+1/2,-y+1/2,z'
loop_
_atom_site_label
_atom_site_type_symbol
_atom_site_fract_x
_atom_site_fract_y
_atom_site_fract_z
_atom_site_occupancy
Pr1 Pr 0.098 0.000 0.400 1
Nd1 Nd 0.000 0.500 0.000 1
Nd2 Nd 0.203 0.500 0.798 1
Se1 Se 0.103 0.000 0.902 1
Se2 Se 0.198 0.500 0.302 1
# Density ... 6.527 g/cm3
# Energy ... -52.22 eV per formula unit
# Magnetization ... 0.0 μB per formula unit
# Density of states at the Fermi level ... 12.24 states/eV/cell
# Formation energy without anion corrections ... -1.6024 eV per atom

***

| no. | V (A^3/atom) |
| --- | --- |
| 1 | 33.92 |
| 2 | 21.23 |
| 3 | 10.90 |
| 4 | 29.13 |